Entry 1:
Material: Sr2Pd2Br
Method: DFT, PBE
State: optimized geometry

Cell: 5.8478 5.8478 8.4164 Å, 90.00 90.00 90.00°
Space group I4/mmm (No. 139)
Asymmetric unit:
Sr 0.0000 0.5000 0.2500 (multiplicity 4)
Pd 0.0000 0.0000 0.1530 (multiplicity 4)
Br 0.0000 0.0000 0.5000 (multiplicity 2)

E_form (uncorrected): -3.3 eV/f.u.
polymorph energy (0 for the lowest one): 94 meV per atom
spin magnetization: 0.000 μB per cell

Entry 2:
Material: AcNd12Ho6
Method: DFT, PBE
State: optimized geometry

Cell: 13.5918 13.5918 12.6797 Å, 90.00 90.00 120.00°
Space group R-3m (No. 166, hexagonal axes)
Asymmetric unit:
Ac 0.0000 0.0000 0.0000 (multiplicity 3)
Nd 0.0000 0.2588 0.5000 (multiplicity 18)
Nd 0.0911 0.1823 0.2622 (multiplicity 18)
Ho 0.0371 0.5185 0.6211 (multiplicity 18)

polymorph energy (0 for the lowest one): 53 meV per atom
spin magnetization: 0.005 μB per cell
E_form: 0.19 eV/atom

Entry 3:
Material: Ba4TlAgHg2
Method: DFT, PBE
State: optimized geometry

Cell: 5.9565 5.9565 29.1681 Å, 90.00 90.00 120.00°
Space group R-3m (No. 166, hexagonal axes)
Asymmetric unit:
Ba 0.0000 0.0000 0.1229 (multiplicity 6)
Ba 0.0000 0.0000 0.3737 (multiplicity 6)
Tl 0.0000 0.0000 0.5000 (multiplicity 3)
Ag 0.0000 0.0000 0.0000 (multiplicity 3)
Hg 0.0000 0.0000 0.2474 (multiplicity 6)

spin magnetization: 0.000 μB per cell
E_form: -0.43 eV/atom

Entry 4:
Material: MoPb2W
Method: DFT, PBE
State: optimized geometry

Cell: 6.9299 6.9299 6.9299 Å, 90.00 90.00 90.00°
Space group F-43m (No. 216)
Asymmetric unit:
Mo 0.0000 0.0000 0.0000 (multiplicity 4)
Pb 0.0000 0.0000 0.5000 (multiplicity 4)
Pb 0.2500 0.2500 0.2500 (multiplicity 4)
W 0.2500 0.2500 0.7500 (multiplicity 4)

polymorph energy (0 for the lowest one): 632 meV per atom
spin magnetization: 0.000 μB per cell
E_form: 1.04 eV/atom